# CoSeN3

A geometry-optimized CoSeN3 structure (PBEsol, Alexandria via LeMat-Bulk).

Geometry as POSCAR:
```
CoSeN3
1.0
-0.3258 0.4289 -3.6484
0.1564 -3.6578 -0.4440
-3.6702 -0.1940 0.3050
N Se Co
3 1 1
direct
0.0000 0.5000 0.0000
0.0000 0.0000 0.5000
0.5000 0.0000 0.0000
0.5000 0.5000 0.5000
0.0000 0.0000 0.0000
```

## Properties
* energy relative to the elements, uncorrected: 718 kJ/mol of formula units
* D(E_F): 3.6 states/eV/cell